Record 1
First-principles (PBE) data for a geometry-optimized AlAs2Os structure, as listed in the Alexandria database.

Unit cell a=2.997 b=4.173 c=11.672 alpha=90.00 beta=90.00 gamma=90.00
Space group Immm (No. 71)
Inequivalent atoms, fractional coordinates:
Al: 0.000 0.000 0.000 (multiplicity 2)
As: 0.000 0.500 0.178 (multiplicity 4)
Os: 0.000 0.000 0.500 (multiplicity 2)

Values from the calculation:
The calculation puts the density at 8.35 Mg/m³. The density of states at the Fermi level is 0.332 states/eV per atom. For the formation energy, the calculation gives -0.0043 eV per atom. The total DFT energy (no corrections) comes out at -6.0721 eV per atom.

Record 2
First-principles (PBE) data for a geometry-optimized CsAc2SeO5 structure, as listed in the Alexandria database.

Unit cell a=7.333 b=7.333 c=12.544 alpha=90.00 beta=90.00 gamma=90.00
Space group I4/mcm (No. 140)
Inequivalent atoms, fractional coordinates:
Cs: 0.000 0.000 0.250 (multiplicity 4)
Ac: 0.180 0.320 0.000 (multiplicity 8)
Se: 0.000 0.500 0.250 (multiplicity 4)
O: 0.000 0.000 0.000 (multiplicity 4)
O: 0.128 0.372 0.379 (multiplicity 16)

Values from the calculation:
The uncorrected formation energy is -2.042 eV/atom. The calculation puts the density at 7.34 Mg/m³. The density of states at the Fermi level is 0.346 states/eV per atom. The total DFT energy (no corrections) comes out at -6.1919 eV per atom.

What did the second record say?
First-principles (PBE) data for a geometry-optimized CsAc2SeO5 structure, as listed in the Alexandria database.

Unit cell a=7.333 b=7.333 c=12.544 alpha=90.00 beta=90.00 gamma=90.00
Space group I4/mcm (No. 140)
Inequivalent atoms, fractional coordinates:
Cs: 0.000 0.000 0.250 (multiplicity 4)
Ac: 0.180 0.320 0.000 (multiplicity 8)
Se: 0.000 0.500 0.250 (multiplicity 4)
O: 0.000 0.000 0.000 (multiplicity 4)
O: 0.128 0.372 0.379 (multiplicity 16)

Values from the calculation:
The uncorrected formation energy is -2.042 eV/atom. The calculation puts the density at 7.34 Mg/m³. The density of states at the Fermi level is 0.346 states/eV per atom. The total DFT energy (no corrections) comes out at -6.1919 eV per atom.

Question: Which of these has the lowest total DFT energy (no corrections)?
Answer: CsAc2SeO5